(1)
The following is a GGA-PBE calculation of an optimized crystal structure of SrOs4Ru, from the Alexandria database.

a = 7.453 Å, b = 7.453 Å, c = 7.453 Å
α = 90.00°, β = 90.00°, γ = 90.00°
Space group F-43m (No. 216)
Symmetry-distinct sites (fractional):
Sr  0.000  0.000  0.000 x4
Os  0.124  0.124  0.624 x16
Ru  0.250  0.250  0.250 x4

Magnetization = 0.00 μB per atom
Calculated formation energy = 0.77 eV/atom
DFT total energy = -205.1 eV/cell

(2)
The following is a GGA-PBE calculation of an optimized crystal structure of Sr2OsRu, from the Alexandria database.

a = 7.045 Å, b = 7.045 Å, c = 7.045 Å
α = 90.00°, β = 90.00°, γ = 90.00°
Space group F-43m (No. 216)
Symmetry-distinct sites (fractional):
Sr  0.000  0.000  0.000 x4
Sr  0.250  0.250  0.250 x4
Os  0.000  0.000  0.500 x4
Ru  0.250  0.250  0.750 x4

Magnetization = 0.00 μB per atom
Calculated formation energy = 0.97 eV/atom
DFT total energy = -80.0 eV/cell
Excess energy over the best structure of this formula in the dataset = 0.5605 eV per atom

(3)
The following is a GGA-PBE calculation of an optimized crystal structure of Sr2OsRu, from the Alexandria database.

a = 3.2427 Å, b = 3.2427 Å, c = 28.9991 Å
α = 90.00°, β = 90.00°, γ = 120.00°
Space group R-3m (No. 166, hexagonal axes)
Symmetry-distinct sites (fractional):
Sr  0.0000  0.0000  0.2489 x6
Os  0.0000  0.0000  0.0000 x3
Ru  0.0000  0.0000  0.5000 x3

Magnetization = 0.02 μB per atom
Calculated formation energy = 1.13 eV/atom
DFT total energy = -58.0 eV/cell
Excess energy over the best structure of this formula in the dataset = 0.7238 eV per atom

(4)
The following is a GGA-PBE calculation of an optimized crystal structure of Sr3OsRu, from the Alexandria database.

a = 5.659 Å, b = 5.659 Å, c = 5.659 Å
α = 90.00°, β = 90.00°, γ = 90.00°
Space group Pm-3m (No. 221)
Symmetry-distinct sites (fractional):
Sr  0.000  0.000  0.500 x3
Os  0.000  0.000  0.000 x1
Ru  0.500  0.500  0.500 x1

Magnetization = 0.42 μB per atom
Calculated formation energy = 1.18 eV/atom
DFT total energy = -19.6 eV/cell
Excess energy over the best structure of this formula in the dataset = 0.0000 eV per atom

(5)
The following is a GGA-PBE calculation of an optimized crystal structure of Sr2OsRu2, from the Alexandria database.

a = 6.571 Å, b = 6.571 Å, c = 5.105 Å
α = 90.00°, β = 90.00°, γ = 90.00°
Space group P4/mbm (No. 127)
Symmetry-distinct sites (fractional):
Sr  0.182  0.318  0.000 x4
Os  0.000  0.000  0.500 x2
Ru  0.131  0.631  0.500 x4

Magnetization = 0.00 μB per atom
Calculated formation energy = 0.38 eV/atom
DFT total energy = -62.5 eV/cell
Excess energy over the best structure of this formula in the dataset = 0.0000 eV per atom

(6)
The following is a GGA-PBE calculation of an optimized crystal structure of Sr2OsRu, from the Alexandria database.

a = 6.983 Å, b = 9.129 Å, c = 2.809 Å
α = 90.00°, β = 90.00°, γ = 90.00°
Space group Cmmm (No. 65)
Symmetry-distinct sites (fractional):
Sr  0.250  0.250  0.000 x4
Os  0.000  0.000  0.500 x2
Ru  0.000  0.500  0.500 x2

Magnetization = 0.00 μB per atom
Calculated formation energy = 0.98 eV/atom
DFT total energy = -39.9 eV/cell
Excess energy over the best structure of this formula in the dataset = 0.5727 eV per atom

(7)
The following is a GGA-PBE calculation of an optimized crystal structure of SrOsRu4, from the Alexandria database.

a = 7.384 Å, b = 7.384 Å, c = 7.384 Å
α = 90.00°, β = 90.00°, γ = 90.00°
Space group F-43m (No. 216)
Symmetry-distinct sites (fractional):
Sr  0.000  0.000  0.000 x4
Os  0.250  0.250  0.750 x4
Ru  0.124  0.124  0.376 x16

Magnetization = 0.00 μB per atom
Calculated formation energy = 0.73 eV/atom
DFT total energy = -182.6 eV/cell

(8)
The following is a GGA-PBE calculation of an optimized crystal structure of Sr2OsRu, from the Alexandria database.

a = 4.443 Å, b = 4.455 Å, c = 4.603 Å
α = 90.00°, β = 90.00°, γ = 90.00°
Space group Pmmm (No. 47)
Symmetry-distinct sites (fractional):
Sr  0.000  0.000  0.000 x1
Sr  0.500  0.500  0.000 x1
Os  0.000  0.500  0.500 x1
Ru  0.500  0.000  0.500 x1

Magnetization = 0.56 μB per atom
Calculated formation energy = 1.02 eV/atom
DFT total energy = -19.8 eV/cell
Excess energy over the best structure of this formula in the dataset = 0.6133 eV per atom

(9)
The following is a GGA-PBE calculation of an optimized crystal structure of Sr2OsRu, from the Alexandria database.

a = 4.452 Å, b = 4.452 Å, c = 9.200 Å
α = 90.00°, β = 90.00°, γ = 90.00°
Space group I4/mmm (No. 139)
Symmetry-distinct sites (fractional):
Sr  0.000  0.500  0.250 x4
Os  0.000  0.000  0.000 x2
Ru  0.000  0.000  0.500 x2

Magnetization = 0.55 μB per atom
Calculated formation energy = 1.02 eV/atom
DFT total energy = -39.6 eV/cell
Excess energy over the best structure of this formula in the dataset = 0.6140 eV per atom

(10)
The following is a GGA-PBE calculation of an optimized crystal structure of Sr2OsRu2, from the Alexandria database.

a = 4.146 Å, b = 4.146 Å, c = 13.325 Å
α = 90.00°, β = 90.00°, γ = 90.00°
Space group I4/mmm (No. 139)
Symmetry-distinct sites (fractional):
Sr  0.000  0.500  0.250 x4
Os  0.000  0.000  0.000 x2
Ru  0.000  0.000  0.416 x4

Magnetization = 0.93 μB per atom
Calculated formation energy = 1.80 eV/atom
DFT total energy = -48.3 eV/cell
Excess energy over the best structure of this formula in the dataset = 1.4201 eV per atom

(11)
The following is a GGA-PBE calculation of an optimized crystal structure of Sr2OsRu, from the Alexandria database.

a = 11.201 Å, b = 11.201 Å, c = 4.642 Å
α = 90.00°, β = 90.00°, γ = 90.00°
Space group I-42d (No. 122)
Symmetry-distinct sites (fractional):
Sr  0.072  0.750  0.125 x8
Os  0.000  0.000  0.500 x4
Ru  0.000  0.000  0.000 x4

Magnetization = 0.23 μB per atom
Calculated formation energy = 0.81 eV/atom
DFT total energy = -82.5 eV/cell
Excess energy over the best structure of this formula in the dataset = 0.4037 eV per atom

(12)
The following is a GGA-PBE calculation of an optimized crystal structure of Sr2OsRu, from the Alexandria database.

a = 4.144 Å, b = 5.199 Å, c = 10.011 Å
α = 90.00°, β = 90.00°, γ = 90.00°
Space group Imm2 (No. 44)
Symmetry-distinct sites (fractional):
Sr  0.000  0.000  0.000 x2
Sr  0.000  0.500  0.215 x2
Os  0.000  0.000  0.414 x2
Ru  0.000  0.500  0.803 x2

Magnetization = 0.00 μB per atom
Calculated formation energy = 0.41 eV/atom
DFT total energy = -44.5 eV/cell
Excess energy over the best structure of this formula in the dataset = 0.0000 eV per atom

(13)
The following is a GGA-PBE calculation of an optimized crystal structure of Sr2OsRu, from the Alexandria database.

a = 2.808 Å, b = 4.602 Å, c = 6.899 Å
α = 90.00°, β = 90.00°, γ = 90.00°
Space group Pmmm (No. 47)
Symmetry-distinct sites (fractional):
Sr  0.000  0.000  0.250 x2
Os  0.500  0.500  0.000 x1
Ru  0.500  0.500  0.500 x1

Magnetization = 0.00 μB per atom
Calculated formation energy = 0.98 eV/atom
DFT total energy = -19.9 eV/cell
Excess energy over the best structure of this formula in the dataset = 0.5737 eV per atom

(14)
The following is a GGA-PBE calculation of an optimized crystal structure of SrTaOs2Ru, from the Alexandria database.

a = 4.841 Å, b = 4.841 Å, c = 4.763 Å
α = 90.00°, β = 90.00°, γ = 90.00°
Space group P4/mmm (No. 123)
Symmetry-distinct sites (fractional):
Sr  0.000  0.000  0.000 x1
Ta  0.500  0.500  0.000 x1
Os  0.000  0.500  0.500 x2
Ru  0.500  0.500  0.500 x1

Magnetization = 0.15 μB per atom
Calculated formation energy = 1.31 eV/atom
DFT total energy = -38.7 eV/cell